First-principles (PBEsol) data for TaTeRh3 after structural relaxation, as listed in Alexandria via LeMat-Bulk.

Calculated values
Energy relative to the elements, uncorrected in kJ/mol of atoms: 86
Space group: Pm-3m, No. 221

Cell lengths 4.6868, 4.6868, 4.6868 Å; angles 90.00, 90.00, 90.00 degrees
Positions (direct):
1 Te 0.5000 0.5000 0.5000
2 Rh 0.0000 0.5000 0.0000
3 Rh 0.0000 0.0000 0.5000
4 Rh 0.5000 0.0000 0.0000
5 Ta 0.0000 0.0000 0.0000

First-principles (PBEsol) data for TaTe2Rh after structural relaxation, as listed in Alexandria via LeMat-Bulk.

Calculated values
Energy relative to the elements, uncorrected in kJ/mol of atoms: 9
Space group: Fm-3m, No. 225

Cell lengths 4.7483, 4.7483, 4.7483 Å; angles 60.00, 60.00, 60.00 degrees
Positions (direct):
1 Rh 0.0000 0.0000 0.0000
2 Ta 0.5000 0.5000 0.5000
3 Te 0.2500 0.2500 0.2500
4 Te 0.7500 0.7500 0.7500

The lowest energy relative to the elements, uncorrected belongs to which entry?
TaTe2Rh